Entry 1:
Here is an optimized crystal structure of Pr8Tm6Th from Alexandria via LeMat-Bulk. Energies are from GGA-PBE.

Cell: 8.787 8.787 8.787 Å, 62.45 62.45 62.45°
Fractional positions:
Pr1 0.116 0.714 0.760
Pr2 0.240 0.884 0.286
Pr3 0.286 0.240 0.884
Pr4 0.579 0.579 0.579
Pr5 0.421 0.421 0.421
Pr6 0.714 0.760 0.116
Pr7 0.760 0.116 0.714
Pr8 0.884 0.286 0.240
Tm1 0.907 0.464 0.747
Tm2 0.253 0.093 0.536
Tm3 0.536 0.253 0.093
Tm4 0.464 0.747 0.907
Tm5 0.747 0.907 0.464
Tm6 0.093 0.536 0.253
Th1 0.000 0.000 0.000

Results
ΔE_f (eV per atom): 0.1287
Total magnetic moment (μB/f.u.): 0.00

Entry 2:
Here is an optimized crystal structure of Ce2HfSbN5 from Alexandria via LeMat-Bulk. Energies are from GGA-PBE.

Cell: 3.386 7.204 10.658 Å, 90.00 90.00 103.59°
Fractional positions:
Ce1 0.858 0.715 0.782
Ce2 0.121 0.243 0.706
Ce3 0.142 0.285 0.282
Ce4 0.879 0.757 0.206
Hf1 0.777 0.554 0.504
Hf2 0.223 0.446 0.004
Sb1 0.516 0.031 0.968
Sb2 0.484 0.969 0.468
N1 0.371 0.742 0.007
N2 0.696 0.392 0.871
N3 0.495 0.990 0.780
N4 0.281 0.562 0.647
N5 0.939 0.879 0.559
N6 0.629 0.258 0.507
N7 0.304 0.608 0.371
N8 0.505 0.010 0.280
N9 0.719 0.438 0.147
N10 0.061 0.121 0.059

Results
E_tot (eV per atom): -8.431
Total magnetic moment (μB/f.u.): 1.33

Entry 3:
Here is an optimized crystal structure of Rb2Pu3TlO12 from Alexandria via LeMat-Bulk. Energies are from GGA-PBE.

Cell: 7.713 7.713 7.713 Å, 62.07 62.07 62.07°
Fractional positions:
Rb1 0.624 0.624 0.624
Rb2 0.376 0.376 0.376
Pu1 0.500 0.000 0.000
Pu2 0.000 0.500 0.000
Pu3 0.000 0.000 0.500
Tl1 0.000 0.000 0.000
O1 0.308 0.308 0.926
O2 0.922 0.922 0.348
O3 0.348 0.922 0.922
O4 0.926 0.308 0.308
O5 0.922 0.348 0.922
O6 0.308 0.926 0.308
O7 0.692 0.692 0.074
O8 0.078 0.078 0.652
O9 0.652 0.078 0.078
O10 0.074 0.692 0.692
O11 0.078 0.652 0.078
O12 0.692 0.074 0.692

Results
E_tot (eV per atom): -8.062
Total magnetic moment (μB/f.u.): 5.00

What did the second record say?
Here is an optimized crystal structure of Ce2HfSbN5 from Alexandria via LeMat-Bulk. Energies are from GGA-PBE.

Cell: 3.386 7.204 10.658 Å, 90.00 90.00 103.59°
Fractional positions:
Ce1 0.858 0.715 0.782
Ce2 0.121 0.243 0.706
Ce3 0.142 0.285 0.282
Ce4 0.879 0.757 0.206
Hf1 0.777 0.554 0.504
Hf2 0.223 0.446 0.004
Sb1 0.516 0.031 0.968
Sb2 0.484 0.969 0.468
N1 0.371 0.742 0.007
N2 0.696 0.392 0.871
N3 0.495 0.990 0.780
N4 0.281 0.562 0.647
N5 0.939 0.879 0.559
N6 0.629 0.258 0.507
N7 0.304 0.608 0.371
N8 0.505 0.010 0.280
N9 0.719 0.438 0.147
N10 0.061 0.121 0.059

Results
E_tot (eV per atom): -8.431
Total magnetic moment (μB/f.u.): 1.33